# Pm2ThAg (PBE, relaxed)
# Distance to the lowest polymorph of the same formula in kJ/mol of atoms: 14.1
# Energy in eV per atom: -4.921
# DOS(E_F) in states/eV per cell: 4.9
data_Pm2ThAg
_chemical_formula_sum 'Pm2 Th1 Ag1'
_symmetry_space_group_name_H-M 'P 1'
_symmetry_Int_Tables_number 1
_cell_length_a 3.587
_cell_length_b 5.709
_cell_length_c 5.709
_cell_angle_alpha 90.00
_cell_angle_beta 90.00
_cell_angle_gamma 90.00
loop_
_symmetry_equiv_pos_as_xyz
'x,y,z'
loop_
_atom_site_label
_atom_site_type_symbol
_atom_site_fract_x
_atom_site_fract_y
_atom_site_fract_z
_atom_site_occupancy
Pm1 Pm 0.000 0.500 0.000 1
Pm2 Pm 0.000 0.000 0.500 1
Th1 Th 0.500 0.500 0.500 1
Ag1 Ag 0.500 0.000 0.000 1

---

# PmThAg4 (PBE, relaxed)
# Distance to the lowest polymorph of the same formula in kJ/mol of atoms: 13.2
# Energy in eV per atom: -3.991
# DOS(E_F) in states/eV per cell: 6.8
data_PmThAg4
_chemical_formula_sum 'Pm1 Th1 Ag4'
_symmetry_space_group_name_H-M 'P 1'
_symmetry_Int_Tables_number 1
_cell_length_a 5.772
_cell_length_b 5.772
_cell_length_c 5.772
_cell_angle_alpha 60.00
_cell_angle_beta 60.00
_cell_angle_gamma 60.00
loop_
_symmetry_equiv_pos_as_xyz
'x,y,z'
loop_
_atom_site_label
_atom_site_type_symbol
_atom_site_fract_x
_atom_site_fract_y
_atom_site_fract_z
_atom_site_occupancy
Ag1 Ag 0.625 0.625 0.125 1
Ag2 Ag 0.625 0.125 0.625 1
Ag3 Ag 0.125 0.625 0.625 1
Ag4 Ag 0.625 0.625 0.625 1
Th1 Th 0.000 0.000 0.000 1
Pm1 Pm 0.250 0.250 0.250 1

---

# Pm3ThAg2 (PBE, relaxed)
# Energy in eV per atom: -4.733
# DOS(E_F) in states/eV per cell: 6.1
data_Pm3ThAg2
_chemical_formula_sum 'Pm3 Th1 Ag2'
_symmetry_space_group_name_H-M 'P 1'
_symmetry_Int_Tables_number 1
_cell_length_a 3.697
_cell_length_b 3.697
_cell_length_c 12.381
_cell_angle_alpha 90.00
_cell_angle_beta 90.00
_cell_angle_gamma 90.00
loop_
_symmetry_equiv_pos_as_xyz
'x,y,z'
loop_
_atom_site_label
_atom_site_type_symbol
_atom_site_fract_x
_atom_site_fract_y
_atom_site_fract_z
_atom_site_occupancy
Ag1 Ag 0.500 0.500 0.151 1
Ag2 Ag 0.500 0.500 0.849 1
Pm1 Pm 0.000 0.000 0.306 1
Pm2 Pm 0.000 0.000 0.694 1
Pm3 Pm 0.000 0.000 0.000 1
Th1 Th 0.500 0.500 0.500 1

---

Among the records above, which one has the highest energy?
PmThAg4